Compound: KLa2Tl
Source: Alexandria
Functional: PBE
Structure: relaxed

Geometry as POSCAR:
```
KLa2Tl
1.0
-5.6504 -1.0250 -4.7777
0.0127 -5.5790 -4.9678
0.0551 2.4263 7.0650
K Tl La
1 1 2
Direct
0.2500 0.7500 0.5000 K
0.7500 0.2500 0.5000 Tl
0.5377 0.5377 0.0000 La
0.9623 0.9623 0.0000 La
```

Results
Symmetry: Immm
DFT formation energy in kJ per mole of atoms: 4.2
Calculated volume in Å³ per cell: 153.4
Density of states at the Fermi level in states/eV per atom: 1.547

Compound: CeAl2GaCu2
Source: Alexandria
Functional: PBE
Structure: relaxed

Geometry as POSCAR:
```
CeAl2GaCu2
1.0
-0.6062 -1.1807 4.2832
4.1418 -1.7146 0.1136
2.0406 5.0405 1.6783
Ga Al Ce Cu
1 2 1 2
Direct
0.0000 0.0000 0.0000 Ga
0.5000 0.5000 0.2628 Al
0.5000 0.5000 0.7372 Al
0.0000 0.0000 0.5000 Ce
0.5000 0.0000 0.0000 Cu
0.0000 0.5000 0.0000 Cu
```

Results
Symmetry: P4/mmm
DFT formation energy in kJ per mole of atoms: -5.6
Calculated volume in Å³ per cell: 114.4
Density of states at the Fermi level in states/eV per atom: 1.330

Compound: YAlZn
Source: Alexandria
Functional: PBE
Structure: relaxed

Geometry as POSCAR:
```
YAlZn
1.0
-2.9618 -6.3341 -4.1177
6.9513 0.9586 -0.5068
-1.1460 2.4600 5.0342
Zn Y Al
2 2 2
Direct
0.8916 0.9338 0.5162 Zn
0.7268 0.5296 0.5434 Zn
0.1717 0.2294 0.3871 Y
0.2835 0.8311 0.7030 Y
0.2252 0.5272 0.0362 Al
0.5599 0.1220 0.5612 Al
```

Results
Symmetry: Cm
DFT formation energy in kJ per mole of atoms: -38.4
Calculated volume in Å³ per cell: 125.1
Density of states at the Fermi level in states/eV per atom: 0.600

Compound: ScCuP2
Source: Alexandria
Functional: PBE
Structure: relaxed

Geometry as POSCAR:
```
ScCuP2
1.0
-2.0165 2.6998 2.9741
2.0165 -2.6998 2.9741
2.0165 2.6998 -2.9741
P Cu Sc
2 1 1
Direct
0.1973 0.1973 0.0000 P
0.8027 0.8027 0.0000 P
0.0000 0.5000 0.5000 Cu
0.5000 0.0000 0.5000 Sc
```

Results
Symmetry: Immm
DFT formation energy in kJ per mole of atoms: -40.8
Calculated volume in Å³ per cell: 64.8
Density of states at the Fermi level in states/eV per atom: 0.631

Compound: Ti3ZnPd
Source: Alexandria
Functional: PBE
Structure: relaxed

Geometry as POSCAR:
```
Ti3ZnPd
1.0
-3.1791 -3.9646 -1.9235
2.9369 0.9248 -6.7603
2.9847 -2.7830 0.9159
Ti Pd Zn
6 2 2
Direct
0.7147 0.4387 0.2836 Ti
0.7147 0.0613 0.2836 Ti
0.9779 0.2500 0.7904 Ti
0.2853 0.5613 0.7164 Ti
0.0221 0.7500 0.2096 Ti
0.2853 0.9387 0.7164 Ti
0.2345 0.2500 0.2849 Pd
0.7655 0.7500 0.7151 Pd
0.5126 0.2500 0.7879 Zn
0.4874 0.7500 0.2121 Zn
```

Results
Symmetry: P2_1/m
DFT formation energy in kJ per mole of atoms: -6.3
Calculated volume in Å³ per cell: 168.8
Density of states at the Fermi level in states/eV per atom: 1.191

Compound: KPmCdI6
Source: Alexandria
Functional: PBE
Structure: relaxed

Geometry as POSCAR:
```
KPmCdI6
1.0
7.9099 0.0000 0.0000
-3.9549 6.8502 0.0000
0.0000 0.0000 15.6588
Pm I K Cd
2 12 2 2
Direct
0.6667 0.3333 0.7500 Pm
0.3333 0.6667 0.2500 Pm
0.6283 0.9927 0.8639 I
0.6357 0.0073 0.3639 I
0.0073 0.6357 0.8639 I
0.6357 0.6283 0.1361 I
0.3643 0.3717 0.8639 I
0.3717 0.3643 0.3639 I
0.6283 0.6357 0.6361 I
0.0073 0.3717 0.6361 I
0.3717 0.0073 0.1361 I
0.9927 0.6283 0.3639 I
0.3643 0.9927 0.6361 I
0.9927 0.3643 0.1361 I
0.0000 0.0000 0.0000 K
0.0000 0.0000 0.5000 K
0.6667 0.3333 0.2500 Cd
0.3333 0.6667 0.7500 Cd
```

Results
Symmetry: P-31c
Electronic total energy in eV/atom: -2.919
Calculated volume in Å³ per cell: 848.5
Density of states at the Fermi level in states/eV per atom: 0.000

Compound: SrReOs3
Source: Alexandria
Functional: PBE
Structure: relaxed

Geometry as POSCAR:
```
SrReOs3
1.0
-3.9450 -2.7318 -0.0348
1.3828 -2.0493 4.1127
-2.3561 3.3711 2.4720
Os Re Sr
3 1 1
Direct
0.5000 0.0000 0.0000 Os
0.0000 0.0000 0.5000 Os
0.0000 0.5000 0.0000 Os
0.0000 0.0000 0.0000 Re
0.5000 0.5000 0.5000 Sr
```

Results
Symmetry: Pm-3m
DFT formation energy in kJ per mole of atoms: 139.4
Calculated volume in Å³ per cell: 110.5
Density of states at the Fermi level in states/eV per atom: 1.114

Compound: RbCd6Au3
Source: Alexandria
Functional: PBE
Structure: relaxed

Geometry as POSCAR:
```
RbCd6Au3
1.0
-4.2845 1.6925 -1.6702
-3.7444 -8.8633 0.6241
-3.5661 0.9245 10.0851
Cd Au Rb
12 6 2
Direct
0.2500 0.1107 0.9616 Cd
0.7500 0.6881 0.8208 Cd
0.2500 0.3119 0.1792 Cd
0.2500 0.7406 0.6624 Cd
0.7500 0.2594 0.3376 Cd
0.7500 0.8893 0.0384 Cd
0.2500 0.5115 0.9183 Cd
0.7500 0.4885 0.0817 Cd
0.2500 0.3183 0.7225 Cd
0.7500 0.6817 0.2775 Cd
0.7500 0.4083 0.5689 Cd
0.2500 0.5917 0.4311 Cd
0.7500 0.1790 0.0862 Au
0.2500 0.6244 0.1600 Au
0.7500 0.7088 0.5382 Au
0.2500 0.2912 0.4618 Au
0.2500 0.8210 0.9138 Au
0.7500 0.3756 0.8400 Au
0.2500 0.9588 0.3192 Rb
0.7500 0.0412 0.6808 Rb
```

Results
Symmetry: P2_1/m
DFT formation energy in kJ per mole of atoms: -16.3
Calculated volume in Å³ per cell: 504.2
Density of states at the Fermi level in states/eV per atom: 0.242